1.
# Be2MoRh (PBE-GGA, optimized geometry)
# **Density of states at the Fermi level**: 2.04 states/eV per cell
# **E**: -6.6586 eV per atom
# **Energy above the lowest structure with this stoichiometry**: 0.0457 eV per atom
data_Be2MoRh
_chemical_formula_sum 'Be2 Mo1 Rh1'
_space_group_name_H-M_alt 'P 4 m m'
_space_group_IT_number 99
_space_group_name_Hall 'P 4 -2'
_cell_length_a 2.773
_cell_length_b 2.773
_cell_length_c 6.009
_cell_angle_alpha 90.00
_cell_angle_beta 90.00
_cell_angle_gamma 90.00
loop_
_atom_site_label
_atom_site_fract_x
_atom_site_fract_y
_atom_site_fract_z
Be1 0.000 0.000 0.000
Be2 0.500 0.500 0.189
Mo1 0.000 0.000 0.467
Rh1 0.500 0.500 0.780

---

2.
# Be2MoRh (PBE-GGA, optimized geometry)
# **Density of states at the Fermi level**: 4.56 states/eV per cell
# **E**: -6.3485 eV per atom
# **Energy above the lowest structure with this stoichiometry**: 0.3557 eV per atom
data_Be2MoRh
_chemical_formula_sum 'Be4 Mo2 Rh2'
_space_group_name_H-M_alt 'I m m m'
_space_group_IT_number 71
_space_group_name_Hall '-I 2 2'
_cell_length_a 2.763
_cell_length_b 4.547
_cell_length_c 7.904
_cell_angle_alpha 90.00
_cell_angle_beta 90.00
_cell_angle_gamma 90.00
loop_
_atom_site_label
_atom_site_fract_x
_atom_site_fract_y
_atom_site_fract_z
Be1 0.000 0.000 0.236
Mo1 0.000 0.500 0.000
Rh1 0.000 0.500 0.500

---

3.
# BeMoRh2 (PBE-GGA, optimized geometry)
# **Density of states at the Fermi level**: 4.87 states/eV per cell
# **E**: -7.4690 eV per atom
data_BeMoRh2
_chemical_formula_sum 'Be2 Mo2 Rh4'
_space_group_name_H-M_alt 'I -4 m 2'
_space_group_IT_number 119
_space_group_name_Hall 'I -4 -2'
_cell_length_a 3.629
_cell_length_b 3.629
_cell_length_c 8.154
_cell_angle_alpha 90.00
_cell_angle_beta 90.00
_cell_angle_gamma 90.00
loop_
_atom_site_label
_atom_site_fract_x
_atom_site_fract_y
_atom_site_fract_z
Be1 0.000 0.000 0.000
Mo1 0.000 0.500 0.750
Rh1 0.000 0.000 0.500
Rh2 0.000 0.500 0.250

---

4.
# BeMoRh2 (PBE-GGA, optimized geometry)
# **Density of states at the Fermi level**: 5.40 states/eV per cell
# **E**: -7.3639 eV per atom
data_BeMoRh2
_chemical_formula_sum 'Be1 Mo1 Rh2'
_space_group_name_H-M_alt 'P 4/m m m'
_space_group_IT_number 123
_space_group_name_Hall '-P 4 2'
_cell_length_a 4.385
_cell_length_b 4.385
_cell_length_c 2.843
_cell_angle_alpha 90.00
_cell_angle_beta 90.00
_cell_angle_gamma 90.00
loop_
_atom_site_label
_atom_site_fract_x
_atom_site_fract_y
_atom_site_fract_z
Be1 0.000 0.000 0.000
Mo1 0.500 0.500 0.000
Rh1 0.000 0.500 0.500

---

5.
# Be17MoRh (PBE-GGA, optimized geometry)
# **Density of states at the Fermi level**: 9.16 states/eV per cell
# **E**: -4.4852 eV per atom
data_Be17MoRh
_chemical_formula_sum 'Be51 Mo3 Rh3'
_space_group_name_H-M_alt 'R 3 m'
_space_group_IT_number 160
_space_group_name_Hall 'R 3 -2"'
_cell_length_a 7.2623
_cell_length_b 7.2623
_cell_length_c 10.5855
_cell_angle_alpha 90.00
_cell_angle_beta 90.00
_cell_angle_gamma 120.00
loop_
_atom_site_label
_atom_site_fract_x
_atom_site_fract_y
_atom_site_fract_z
Be1 0.0000 0.0000 0.0510
Be2 0.0000 0.0000 0.2545
Be3 0.0351 0.3650 0.8209
Be4 0.1669 0.3339 0.6373
Be5 0.1719 0.3439 0.9918
Be6 0.1726 0.3452 0.3333
Mo1 0.0000 0.0000 0.4939
Rh1 0.0000 0.0000 0.8138

---

6.
# BeMoRh2 (PBE-GGA, optimized geometry)
# **Density of states at the Fermi level**: 2.39 states/eV per cell
# **E**: -7.4960 eV per atom
data_BeMoRh2
_chemical_formula_sum 'Be1 Mo1 Rh2'
_space_group_name_H-M_alt 'P m m 2'
_space_group_IT_number 25
_space_group_name_Hall 'P 2 -2'
_cell_length_a 2.751
_cell_length_b 3.805
_cell_length_c 5.180
_cell_angle_alpha 90.00
_cell_angle_beta 90.00
_cell_angle_gamma 90.00
loop_
_atom_site_label
_atom_site_fract_x
_atom_site_fract_y
_atom_site_fract_z
Be1 0.000 0.000 0.000
Mo1 0.500 0.500 0.283
Rh1 0.000 0.000 0.511
Rh2 0.500 0.500 0.827

---

7.
# BeMoRh2 (PBE-GGA, optimized geometry)
# **Density of states at the Fermi level**: 13.31 states/eV per cell
# **E**: -7.5032 eV per atom
data_BeMoRh2
_chemical_formula_sum 'Be3 Mo3 Rh6'
_space_group_name_H-M_alt 'R -3 m'
_space_group_IT_number 166
_space_group_name_Hall '-R 3 2"'
_cell_length_a 2.7848
_cell_length_b 2.7848
_cell_length_c 23.5996
_cell_angle_alpha 90.00
_cell_angle_beta 90.00
_cell_angle_gamma 120.00
loop_
_atom_site_label
_atom_site_fract_x
_atom_site_fract_y
_atom_site_fract_z
Be1 0.0000 0.0000 0.0000
Mo1 0.0000 0.0000 0.5000
Rh1 0.0000 0.0000 0.2601

---

8.
# Be2MoRh (PBE-GGA, optimized geometry)
# **Density of states at the Fermi level**: 9.60 states/eV per cell
# **E**: -6.2357 eV per atom
# **Energy above the lowest structure with this stoichiometry**: 0.4686 eV per atom
data_Be2MoRh
_chemical_formula_sum 'Be8 Mo4 Rh4'
_space_group_name_H-M_alt 'I -4 2 d'
_space_group_IT_number 122
_space_group_name_Hall 'I -4 2bw'
_cell_length_a 6.165
_cell_length_b 6.165
_cell_length_c 5.156
_cell_angle_alpha 90.00
_cell_angle_beta 90.00
_cell_angle_gamma 90.00
loop_
_atom_site_label
_atom_site_fract_x
_atom_site_fract_y
_atom_site_fract_z
Be1 0.234 0.750 0.125
Mo1 0.000 0.000 0.500
Rh1 0.000 0.000 0.000

---

9.
# BeMoRh3 (PBE-GGA, optimized geometry)
# **Density of states at the Fermi level**: 3.78 states/eV per cell
# **E**: -5.9277 eV per atom
# **Energy above the lowest structure with this stoichiometry**: 1.2086 eV per atom
data_BeMoRh3
_chemical_formula_sum 'Be1 Mo1 Rh3'
_space_group_name_H-M_alt 'P m -3 m'
_space_group_IT_number 221
_space_group_name_Hall '-P 4 2 3'
_cell_length_a 4.651
_cell_length_b 4.651
_cell_length_c 4.651
_cell_angle_alpha 90.00
_cell_angle_beta 90.00
_cell_angle_gamma 90.00
loop_
_atom_site_label
_atom_site_fract_x
_atom_site_fract_y
_atom_site_fract_z
Be1 0.000 0.000 0.000
Mo1 0.500 0.500 0.500
Rh1 0.000 0.500 0.500

---

10.
# Be2MoRh (PBE-GGA, optimized geometry)
# **Density of states at the Fermi level**: 13.33 states/eV per cell
# **E**: -6.3802 eV per atom
# **Energy above the lowest structure with this stoichiometry**: 0.3240 eV per atom
data_Be2MoRh
_chemical_formula_sum 'Be6 Mo3 Rh3'
_space_group_name_H-M_alt 'R -3 m'
_space_group_IT_number 166
_space_group_name_Hall '-R 3 2"'
_cell_length_a 2.7457
_cell_length_b 2.7457
_cell_length_c 22.5900
_cell_angle_alpha 90.00
_cell_angle_beta 90.00
_cell_angle_gamma 120.00
loop_
_atom_site_label
_atom_site_fract_x
_atom_site_fract_y
_atom_site_fract_z
Be1 0.0000 0.0000 0.2431
Mo1 0.0000 0.0000 0.0000
Rh1 0.0000 0.0000 0.5000

---

11.
# Be3MoRh (PBE-GGA, optimized geometry)
# **Density of states at the Fermi level**: 3.10 states/eV per cell
# **E**: -4.5760 eV per atom
# **Energy above the lowest structure with this stoichiometry**: 0.7586 eV per atom
data_Be3MoRh
_chemical_formula_sum 'Be3 Mo1 Rh1'
_space_group_name_H-M_alt 'P m -3 m'
_space_group_IT_number 221
_space_group_name_Hall '-P 4 2 3'
_cell_length_a 4.109
_cell_length_b 4.109
_cell_length_c 4.109
_cell_angle_alpha 90.00
_cell_angle_beta 90.00
_cell_angle_gamma 90.00
loop_
_atom_site_label
_atom_site_fract_x
_atom_site_fract_y
_atom_site_fract_z
Be1 0.000 0.000 0.500
Mo1 0.000 0.000 0.000
Rh1 0.500 0.500 0.500

---

12.
# BeMoRh2 (PBE-GGA, optimized geometry)
# **Density of states at the Fermi level**: 7.09 states/eV per cell
# **E**: -7.5136 eV per atom
data_BeMoRh2
_chemical_formula_sum 'Be2 Mo2 Rh4'
_space_group_name_H-M_alt 'I m m 2'
_space_group_IT_number 44
_space_group_name_Hall 'I 2 -2'
_cell_length_a 2.839
_cell_length_b 4.315
_cell_length_c 8.544
_cell_angle_alpha 90.00
_cell_angle_beta 90.00
_cell_angle_gamma 90.00
loop_
_atom_site_label
_atom_site_fract_x
_atom_site_fract_y
_atom_site_fract_z
Be1 0.000 0.000 0.000
Mo1 0.000 0.500 0.735
Rh1 0.000 0.000 0.513
Rh2 0.000 0.500 0.296

---

| no. | formation enthalpy at 0 K (meV per atom) |
| --- | --- |
| 1 | -249.8 |
| 2 | 60.2 |
| 3 | -154.0 |
| 4 | -48.9 |
| 5 | -194.2 |
| 6 | -180.9 |
| 7 | -188.1 |
| 8 | 173.1 |
| 9 | 1394.7 |
| 10 | 28.5 |
| 11 | 1296.3 |
| 12 | -198.5 |